Record 1
A plane-wave DFT calculation with PBE was carried out for an optimized crystal structure of ZnSbPb2.

- magnetic moment (μB/f.u.) = 0.0
- formation energy (no corrections) (eV/atom) = 0.1524
- space-group type = No. 12
- offset from the most stable computed form (kJ/mol of formula units) = 19

a b c (Å): 7.042 9.332 3.396
angles (deg): 90.00 92.16 90.00
Sites, in units of the cell vectors:
Zn: 0.000 0.000 0.000
Zn: 0.500 0.500 0.000
Sb: 0.000 0.500 0.000
Sb: 0.500 0.000 0.000
Pb: 0.250 0.250 0.500
Pb: 0.250 0.750 0.500
Pb: 0.750 0.250 0.500
Pb: 0.750 0.750 0.500



Record 2
A plane-wave DFT calculation with PBE was carried out for an optimized crystal structure of K2TbThTe4.

- magnetic moment (μB/f.u.) = 0.0
- formation energy (no corrections) (eV/atom) = -1.2818
- space-group type = No. 10

a b c (Å): 7.795 4.482 8.744
angles (deg): 90.00 107.08 90.00
Sites, in units of the cell vectors:
K: 0.000 0.000 0.000
K: 0.500 0.500 0.000
Tb: 0.000 0.500 0.500
Th: 0.500 0.000 0.500
Te: 0.234 0.000 0.713
Te: 0.257 0.500 0.283
Te: 0.743 0.500 0.717
Te: 0.766 0.000 0.287



Record 3
A plane-wave DFT calculation with PBE was carried out for an optimized crystal structure of Rb4BrF2.

- magnetic moment (μB/f.u.) = 0.0
- formation energy (no corrections) (eV/atom) = -1.9354
- space-group type = No. 1
- offset from the most stable computed form (kJ/mol of formula units) = 0

a b c (Å): 8.233 8.841 8.869
angles (deg): 114.90 101.38 100.95
Sites, in units of the cell vectors:
Rb: 0.000 0.000 0.000
Rb: 0.017 0.425 0.530
Rb: 0.076 0.555 0.105
Rb: 0.300 0.042 0.400
Rb: 0.499 0.546 0.455
Rb: 0.519 0.077 0.881
Rb: 0.575 0.651 0.009
Rb: 0.800 0.945 0.496
Br: 0.197 0.249 0.792
Br: 0.697 0.339 0.704
F: 0.196 0.285 0.316
F: 0.439 0.750 0.287
F: 0.697 0.863 0.739
F: 0.939 0.833 0.205



Record 4
A plane-wave DFT calculation with PBE was carried out for an optimized crystal structure of Ca2BiPO8.

- magnetic moment (μB/f.u.) = 4.0
- formation energy (no corrections) (eV/atom) = -1.4010
- space-group type = No. 164

a b c (Å): 5.194 5.194 6.415
angles (deg): 90.00 90.00 120.00
Sites, in units of the cell vectors:
Ca: 0.333 0.667 0.374
Ca: 0.667 0.333 0.626
Bi: 0.000 0.000 0.000
P: 0.000 0.000 0.500
O: 0.152 0.304 0.655
O: 0.152 0.848 0.655
O: 0.304 0.152 0.345
O: 0.333 0.667 0.020
O: 0.667 0.333 0.980
O: 0.696 0.848 0.655
O: 0.848 0.152 0.345
O: 0.848 0.696 0.345



Record 5
A plane-wave DFT calculation with PBE was carried out for an optimized crystal structure of InBiTeO6.

- magnetic moment (μB/f.u.) = 0.0
- formation energy (no corrections) (eV/atom) = -1.2633
- space-group type = No. 163

a b c (Å): 5.483 5.483 9.851
angles (deg): 90.00 90.00 120.00
Sites, in units of the cell vectors:
In: 0.333 0.667 0.250
In: 0.667 0.333 0.750
Bi: 0.000 0.000 0.000
Bi: 0.000 0.000 0.500
Te: 0.333 0.667 0.750
Te: 0.667 0.333 0.250
O: 0.031 0.377 0.638
O: 0.031 0.654 0.862
O: 0.346 0.377 0.862
O: 0.346 0.969 0.638
O: 0.377 0.031 0.138
O: 0.377 0.346 0.362
O: 0.623 0.654 0.638
O: 0.623 0.969 0.862
O: 0.654 0.031 0.362
O: 0.654 0.623 0.138
O: 0.969 0.346 0.138
O: 0.969 0.623 0.362



Record 6
A plane-wave DFT calculation with PBE was carried out for an optimized crystal structure of BaNaRu3.

- energy relative to the elements (eV/f.u.) = 9.52
- magnetic moment (μB/f.u.) = 5.7
- space-group type = No. 221
- offset from the most stable computed form (kJ/mol of formula units) = 0

a b c (Å): 4.903 4.903 4.903
angles (deg): 90.00 90.00 90.00
Sites, in units of the cell vectors:
Ba: 0.000 0.000 0.000
Na: 0.500 0.500 0.500
Ru: 0.000 0.500 0.500
Ru: 0.500 0.000 0.500
Ru: 0.500 0.500 0.000



> Among the records above, which one has the highest magnetic moment?

BaNaRu3